[1]
A plane-wave DFT calculation with PBE-GGA was carried out for a relaxed structure of W2Br8N.

Cell: 8.832 8.832 7.991 Å, 109.78 109.78 75.50°
Element x y z (fractional)
W (0.134, 0.134, 0.184)
W (0.866, 0.866, 0.816)
Br (0.090, 0.631, 0.808)
Br (0.148, 0.148, 0.497)
Br (0.274, 0.274, 0.081)
Br (0.369, 0.910, 0.192)
Br (0.631, 0.090, 0.808)
Br (0.726, 0.726, 0.919)
Br (0.852, 0.852, 0.503)
Br (0.910, 0.369, 0.192)
N (0.000, 0.000, 0.000)

Results
Magnetization, μB per atom: 0.097
Formation energy from raw total energies, meV per atom: -459

***

[2]
A plane-wave DFT calculation with PBE-GGA was carried out for a relaxed structure of WBrN.

Cell: 6.823 9.457 4.828 Å, 90.00 90.00 90.00°
Element x y z (fractional)
W (0.051, 0.069, 0.000)
W (0.449, 0.069, 0.500)
W (0.551, 0.931, 0.000)
W (0.949, 0.931, 0.500)
Br (0.011, 0.680, 0.506)
Br (0.489, 0.680, 0.006)
Br (0.511, 0.320, 0.506)
Br (0.989, 0.320, 0.006)
N (0.183, 0.020, 0.650)
N (0.317, 0.020, 0.150)
N (0.683, 0.980, 0.650)
N (0.817, 0.980, 0.150)

Results
Magnetization, μB per atom: 0.000
Formation energy from raw total energies, meV per atom: -253

***

[3]
A plane-wave DFT calculation with PBE-GGA was carried out for a relaxed structure of WBr2N.

Cell: 6.117 6.117 6.117 Å, 119.48 119.48 90.91°
Element x y z (fractional)
W (0.000, 0.000, 0.000)
W (0.750, 0.250, 0.500)
Br (0.130, 0.625, 0.005)
Br (0.375, 0.380, 0.505)
Br (0.620, 0.125, 0.995)
Br (0.875, 0.870, 0.495)
N (0.250, 0.750, 0.500)
N (0.500, 0.500, 0.000)

Results
Magnetization, μB per atom: 0.000
Formation energy from raw total energies, meV per atom: 1946

***

[4]
A plane-wave DFT calculation with PBE-GGA was carried out for a relaxed structure of WBr3N.

Cell: 4.687 4.687 4.687 Å, 90.00 90.00 90.00°
Element x y z (fractional)
W (0.000, 0.000, 0.000)
Br (0.000, 0.500, 0.500)
Br (0.500, 0.000, 0.500)
Br (0.500, 0.500, 0.000)
N (0.500, 0.500, 0.500)

Results
Magnetization, μB per atom: 0.855
Formation energy from raw total energies, meV per atom: 1841

***

[5]
A plane-wave DFT calculation with PBE-GGA was carried out for a relaxed structure of WBrN2.

Cell: 3.961 3.961 3.961 Å, 60.00 60.00 60.00°
Element x y z (fractional)
W (0.000, 0.000, 0.000)
Br (0.500, 0.500, 0.500)
N (0.250, 0.250, 0.250)
N (0.750, 0.750, 0.750)

Results
Magnetization, μB per atom: 0.000
Formation energy from raw total energies, meV per atom: 1863

***

[6]
A plane-wave DFT calculation with PBE-GGA was carried out for a relaxed structure of W2BrN.

Cell: 7.255 7.255 7.255 Å, 143.57 143.57 52.48°
Element x y z (fractional)
W (0.024, 0.625, 0.899)
W (0.375, 0.274, 0.399)
W (0.726, 0.125, 0.101)
W (0.875, 0.976, 0.601)
Br (0.250, 0.750, 0.500)
Br (0.500, 0.500, 0.000)
N (0.000, 0.000, 0.000)
N (0.750, 0.250, 0.500)

Results
Magnetization, μB per atom: 0.000
Formation energy from raw total energies, meV per atom: 750

***

Density of states at the Fermi level readings, ordered: 0.644 0.031 1.355 0.812 0.473 0.446 states/eV/atom